# Sb2PBr

A geometry-optimized Sb2PBr structure (PBE, the Alexandria database).

Cell lengths 3.8409, 3.8409, 8.3199 Å; angles 90.00, 90.00, 90.00 degrees
Closest atoms and distances in Å follow each position.
Atoms (fractional coordinates):
Sb1 0.0000 0.0000 0.0000  1 Br 2.59, 4 P 2.73
Sb2 0.5000 0.5000 0.3366  1 P 2.52
P1 0.5000 0.5000 0.0335  5 Sb 2.52-2.73
Br1 0.0000 0.0000 0.6892  1 Sb 2.59

Properties
raw formation energy	50	meV per atom
calculated total energy	-15.13	eV/f.u.
energy relative to the lowest polymorph listed for this composition	5.3	kJ/mol of atoms
SG	P4mm, No. 99
magnetization	0.000	μB/cell